Te2OsSe | PBE | optimized geometry

Summary:
Symmetry: Pmmm
Total energy, Ha/atom: -0.1570

Lattice parameters (Å, degrees): 3.354 5.088 4.875 90.00 90.00 90.00
Fractional coordinates of all 4 atoms:
Se (0.000, 0.500, 0.500)
Te (0.500, 0.500, 0.000)
Te (0.000, 0.000, 0.000)
Os (0.500, 0.000, 0.500)


Te2OsSe | PBE | optimized geometry

Summary:
Symmetry: F-43m
Total energy, Ha/atom: -0.1575

Lattice parameters (Å, degrees): 4.902 4.902 4.902 60.00 60.00 60.00
Fractional coordinates of all 4 atoms:
Te (0.750, 0.750, 0.750)
Te (0.000, 0.000, 0.000)
Se (0.250, 0.250, 0.250)
Os (0.500, 0.500, 0.500)


Te2OsSe | PBE | optimized geometry

Summary:
Symmetry: P4/mmm
Total energy, Ha/atom: -0.1760

Lattice parameters (Å, degrees): 3.128 3.128 9.409 90.00 90.00 90.00
Fractional coordinates of all 4 atoms:
Te (0.000, 0.000, 0.061)
Te (0.000, 0.000, 0.439)
Se (0.500, 0.500, 0.750)
Os (0.500, 0.500, 0.250)


TeOsSe | PBE | optimized geometry

Summary:
Symmetry: Fdd2
Energy above the lowest structure with this stoichiometry, meV per atom: 0.0
Total energy, Ha/atom: -0.2213

Lattice parameters (Å, degrees): 6.510 6.510 7.407 109.04 109.04 104.93
Fractional coordinates of all 12 atoms:
Te (0.752, 0.534, 0.859)
Te (0.675, 0.893, 0.141)
Te (0.643, 0.925, 0.641)
Te (0.284, 0.002, 0.359)
Se (0.785, 0.514, 0.374)
Se (0.264, 0.035, 0.874)
Se (0.161, 0.390, 0.126)
Se (0.140, 0.411, 0.626)
Os (0.211, 0.699, 0.985)
Os (0.449, 0.461, 0.485)
Os (0.976, 0.964, 0.515)
Os (0.714, 0.226, 0.015)


Te2OsSe | PBE | optimized geometry

Summary:
Symmetry: I-42d
Total energy, Ha/atom: -0.1754

Lattice parameters (Å, degrees): 6.948 6.948 6.916 59.85 59.85 90.00
Fractional coordinates of all 8 atoms:
Te (0.375, 0.323, 0.750)
Te (0.073, 0.625, 0.250)
Te (0.677, 0.125, 0.250)
Te (0.875, 0.927, 0.750)
Os (0.750, 0.250, 0.500)
Os (0.000, 0.000, 0.000)
Se (0.250, 0.750, 0.500)
Se (0.500, 0.500, 0.000)


Te2OsSe | PBE | optimized geometry

Summary:
Symmetry: P4/mmm
Total energy, Ha/atom: -0.1609

Lattice parameters (Å, degrees): 5.021 5.021 3.265 90.00 90.00 90.05
Fractional coordinates of all 4 atoms:
Os (0.500, 0.000, 0.500)
Se (0.000, 0.500, 0.500)
Te (0.000, 0.000, 0.000)
Te (0.500, 0.500, 0.000)


Te3OsSe | PBE | optimized geometry

Summary:
Symmetry: Pm-3m
Energy above the lowest structure with this stoichiometry, meV per atom: 910.3
Total energy, Ha/atom: -0.1165

Lattice parameters (Å, degrees): 5.363 5.363 5.363 90.00 90.00 90.00
Fractional coordinates of all 5 atoms:
Se (0.000, 0.000, 0.000)
Os (0.500, 0.500, 0.500)
Te (0.000, 0.500, 0.000)
Te (0.000, 0.000, 0.500)
Te (0.500, 0.000, 0.000)


Te2OsSe | PBE | optimized geometry

Summary:
Symmetry: P4mm
Total energy, Ha/atom: -0.1808

Lattice parameters (Å, degrees): 3.077 3.077 10.413 90.00 90.00 90.00
Fractional coordinates of all 4 atoms:
Te (0.000, 0.000, 0.993)
Te (0.500, 0.500, 0.329)
Os (0.000, 0.000, 0.520)
Se (0.500, 0.500, 0.657)


TeOs3Se | PBE | optimized geometry

Summary:
Symmetry: Pm-3m
Energy above the lowest structure with this stoichiometry, meV per atom: 787.1
Total energy, Ha/atom: -0.2008

Lattice parameters (Å, degrees): 4.866 4.866 4.866 90.00 90.00 90.00
Fractional coordinates of all 5 atoms:
Te (0.000, 0.000, 0.000)
Se (0.500, 0.500, 0.500)
Os (0.500, 0.000, 0.000)
Os (0.000, 0.000, 0.500)
Os (0.000, 0.500, 0.000)


Te2OsSe | PBE | optimized geometry

Summary:
Symmetry: R-3m
Total energy, Ha/atom: -0.1816

Lattice parameters (Å, degrees): 7.750 7.750 7.750 28.48 28.48 28.48
Fractional coordinates of all 4 atoms:
Os (0.250, 0.250, 0.250)
Se (0.750, 0.750, 0.750)
Te (0.514, 0.514, 0.514)
Te (0.986, 0.986, 0.986)


Te2OsSe | PBE | optimized geometry

Summary:
Symmetry: Cmm2
Total energy, Ha/atom: -0.1720

Lattice parameters (Å, degrees): 3.177 3.177 11.350 90.00 90.00 122.15
Fractional coordinates of all 4 atoms:
Te (0.500, 0.500, 0.310)
Te (0.000, 0.000, 0.991)
Se (0.500, 0.500, 0.684)
Os (0.000, 0.000, 0.515)


TeOsSe | PBE | optimized geometry

Summary:
Symmetry: Fmm2
Energy above the lowest structure with this stoichiometry, meV per atom: 689.5
Total energy, Ha/atom: -0.1960

Lattice parameters (Å, degrees): 8.577 8.272 3.132 84.82 73.85 21.33
Fractional coordinates of all 3 atoms:
Se (0.373, 0.373, 0.627)
Te (0.636, 0.636, 0.364)
Os (0.991, 0.991, 0.009)


TeOs3Se | PBE | optimized geometry

Summary:
Symmetry: Pm-3m
Energy above the lowest structure with this stoichiometry, meV per atom: 0.0
Total energy, Ha/atom: -0.2297

Lattice parameters (Å, degrees): 4.605 4.605 4.605 90.00 90.00 90.00
Fractional coordinates of all 5 atoms:
Te (0.500, 0.500, 0.500)
Os (0.500, 0.000, 0.000)
Os (0.000, 0.000, 0.500)
Os (0.000, 0.500, 0.000)
Se (0.000, 0.000, 0.000)


Te3OsSe | PBE | optimized geometry

Summary:
Symmetry: Pm-3m
Energy above the lowest structure with this stoichiometry, meV per atom: 0.0
Total energy, Ha/atom: -0.1500

Lattice parameters (Å, degrees): 5.210 5.210 5.210 90.00 90.00 90.00
Fractional coordinates of all 5 atoms:
Te (0.500, 0.000, 0.000)
Te (0.000, 0.000, 0.500)
Te (0.000, 0.500, 0.000)
Os (0.000, 0.000, 0.000)
Se (0.500, 0.500, 0.500)


Te2OsSe | PBE | optimized geometry

Summary:
Symmetry: R-3m
Total energy, Ha/atom: -0.1649

Lattice parameters (Å, degrees): 12.368 12.368 12.368 14.11 14.11 14.11
Fractional coordinates of all 4 atoms:
Te (0.930, 0.930, 0.930)
Te (0.070, 0.070, 0.070)
Se (0.500, 0.500, 0.500)
Os (0.000, 0.000, 0.000)


Te2OsSe | PBE | optimized geometry

Summary:
Symmetry: Amm2
Total energy, Ha/atom: -0.1878

Lattice parameters (Å, degrees): 3.811 5.357 5.357 59.82 90.00 90.00
Fractional coordinates of all 4 atoms:
Te (0.500, 0.306, 0.306)
Te (0.000, 0.009, 0.009)
Os (0.000, 0.504, 0.504)
Se (0.500, 0.682, 0.682)


Th6TeOs2Se3 | PBE | optimized geometry

Summary:
Symmetry: C2/m
Total energy, Ha/atom: -0.2873

Lattice parameters (Å, degrees): 4.179 8.854 9.577 103.27 102.60 90.00
Fractional coordinates of all 12 atoms:
Se (0.844, 0.167, 0.688)
Se (0.500, 0.500, 0.000)
Se (0.156, 0.833, 0.312)
Th (0.986, 0.728, 0.973)
Th (0.676, 0.118, 0.352)
Th (0.675, 0.561, 0.350)
Th (0.325, 0.439, 0.650)
Th (0.014, 0.272, 0.027)
Th (0.324, 0.882, 0.648)
Te (0.500, 0.000, 0.000)
Os (0.169, 0.332, 0.338)
Os (0.831, 0.668, 0.662)


Th8TeOs3Se4 | PBE | optimized geometry

Summary:
Symmetry: R-3m
Total energy, Ha/atom: -0.2913

Lattice parameters (Å, degrees): 8.448 8.682 8.449 119.11 120.00 90.00
Fractional coordinates of all 16 atoms:
Se (0.000, 0.000, 0.500)
Se (0.500, 0.000, 0.000)
Se (0.000, 0.000, 0.000)
Se (0.500, 0.000, 0.500)
Th (0.745, 0.270, 0.025)
Th (0.255, 0.730, 0.511)
Th (0.738, 0.713, 0.475)
Th (0.255, 0.730, 0.975)
Th (0.262, 0.287, 0.525)
Th (0.719, 0.730, 0.975)
Th (0.745, 0.270, 0.489)
Th (0.281, 0.270, 0.025)
Os (0.500, 0.500, 0.000)
Os (0.500, 0.500, 0.500)
Os (0.000, 0.500, 0.500)
Te (0.000, 0.500, 0.000)


Th6Te3OsSe2 | PBE | optimized geometry

Summary:
Symmetry: C2/m
Total energy, Ha/atom: -0.2633

Lattice parameters (Å, degrees): 4.196 9.041 9.854 104.76 102.29 90.00
Fractional coordinates of all 12 atoms:
Se (0.836, 0.667, 0.672)
Se (0.164, 0.333, 0.328)
Te (0.829, 0.166, 0.658)
Te (0.500, 0.500, 0.000)
Te (0.171, 0.834, 0.342)
Th (0.325, 0.432, 0.649)
Th (0.002, 0.212, 0.003)
Th (0.998, 0.788, 0.997)
Th (0.675, 0.568, 0.351)
Th (0.655, 0.095, 0.310)
Th (0.345, 0.905, 0.690)
Os (0.500, 0.000, 0.000)


Th4Te2OsSe | PBE | optimized geometry

Summary:
Symmetry: P2/m
Total energy, Ha/atom: -0.2727

Lattice parameters (Å, degrees): 4.192 7.570 7.843 107.90 90.00 90.00
Fractional coordinates of all 8 atoms:
Se (0.000, 0.000, 0.000)
Te (0.500, 0.000, 0.500)
Te (0.000, 0.500, 0.500)
Th (0.500, 0.748, 0.782)
Th (0.000, 0.285, 0.793)
Th (0.000, 0.715, 0.207)
Th (0.500, 0.252, 0.218)
Os (0.500, 0.500, 0.000)


Th3TeOsSe | PBE | optimized geometry

Summary:
Symmetry: P2_1/m
Total energy, Ha/atom: -0.2757

Lattice parameters (Å, degrees): 4.272 8.187 10.329 113.61 90.00 90.00
Fractional coordinates of all 12 atoms:
Th (0.250, 0.703, 0.480)
Th (0.750, 0.297, 0.520)
Th (0.750, 0.915, 0.107)
Th (0.250, 0.528, 0.863)
Th (0.750, 0.472, 0.137)
Th (0.250, 0.085, 0.893)
Se (0.250, 0.123, 0.624)
Se (0.750, 0.877, 0.376)
Te (0.750, 0.740, 0.729)
Te (0.250, 0.260, 0.271)
Os (0.750, 0.281, 0.829)
Os (0.250, 0.719, 0.171)


VTeOsSe2 | PBE | optimized geometry

Summary:
Symmetry: P4/mmm
Total energy, Ha/atom: -0.1560

Lattice parameters (Å, degrees): 5.324 4.853 5.324 90.00 90.00 90.00
Fractional coordinates of all 5 atoms:
Se (0.000, 0.000, 0.500)
Se (0.500, 0.000, 0.000)
V (0.500, 0.500, 0.500)
Os (0.000, 0.500, 0.000)
Te (0.000, 0.000, 0.000)


Th6OsSe5 | PBE | optimized geometry

Summary:
Symmetry: C2/m
Total energy, Ha/atom: -0.2749

Lattice parameters (Å, degrees): 7.309 7.366 7.323 59.81 80.31 70.44
Fractional coordinates of all 12 atoms:
Th (0.764, 0.395, 0.685)
Th (0.236, 0.605, 0.315)
Th (0.236, 0.921, 0.685)
Th (0.247, 0.236, 0.000)
Th (0.764, 0.079, 0.315)
Th (0.753, 0.764, 0.000)
Se (0.500, 0.175, 0.649)
Se (0.500, 0.825, 0.351)
Se (0.500, 0.500, 0.000)
Se (0.000, 0.665, 0.670)
Se (0.000, 0.335, 0.330)
Os (0.000, 0.000, 0.000)


Th5OsSe5 | PBE | optimized geometry

Summary:
Symmetry: C2/m
Total energy, Ha/atom: -0.2716

Lattice parameters (Å, degrees): 5.971 7.339 8.375 107.00 90.00 114.00
Fractional coordinates of all 11 atoms:
Os (0.000, 0.000, 0.000)
Th (0.844, 0.688, 0.686)
Th (0.157, 0.315, 0.842)
Th (0.156, 0.312, 0.314)
Th (0.843, 0.685, 0.158)
Th (0.500, 0.000, 0.000)
Se (0.338, 0.677, 0.179)
Se (0.676, 0.351, 0.340)
Se (0.662, 0.323, 0.821)
Se (0.324, 0.649, 0.660)
Se (0.000, 0.000, 0.500)


Th4Os2Se | PBE | optimized geometry

Summary:
Symmetry: R-3m
Total energy, Ha/atom: -0.3159

Lattice parameters (Å, degrees): 4.167 4.167 13.554 81.16 81.16 60.00
Fractional coordinates of all 7 atoms:
Th (0.718, 0.718, 0.845)
Th (0.873, 0.873, 0.382)
Th (0.282, 0.282, 0.155)
Th (0.127, 0.127, 0.618)
Os (0.575, 0.575, 0.275)
Os (0.425, 0.425, 0.725)
Se (0.000, 0.000, 0.000)


Th5OsSe4 | PBE | optimized geometry

Summary:
Symmetry: I4/mmm
Total energy, Ha/atom: -0.2763

Lattice parameters (Å, degrees): 4.203 4.203 15.190 97.95 97.95 90.00
Fractional coordinates of all 10 atoms:
Se (0.602, 0.602, 0.205)
Se (0.398, 0.398, 0.795)
Se (0.196, 0.196, 0.392)
Se (0.804, 0.804, 0.608)
Th (0.703, 0.703, 0.407)
Th (0.906, 0.906, 0.812)
Th (0.500, 0.500, 0.000)
Th (0.297, 0.297, 0.593)
Th (0.094, 0.094, 0.188)
Os (0.000, 0.000, 0.000)